Record 1
{
  "formula": "Al2P2H9NO11",
  "functional": "PBE",
  "state": "relaxed",
  "total_energy_ev_per_atom": -6.18,
  "total_magnetization_mub_per_fu": 0.0,
  "cell": [[9.638, 0.000, -0.002], [0.000, 9.673, 0.000], [-2.310, 0.000, 9.464]],
  "species": ["H", "H", "H", "H", "H", "H", "H", "H", "H", "H", "H", "H", "H", "H", "H", "H", "H", "H", "H", "H", "H", "H", "H", "H", "H", "H", "H", "H", "H", "H", "H", "H", "H", "H", "H", "H", "Al", "Al", "Al", "Al", "Al", "Al", "Al", "Al", "O", "O", "O", "O", "O", "O", "O", "O", "O", "O", "O", "O", "O", "O", "O", "O", "O", "O", "O", "O", "O", "O", "O", "O", "O", "O", "O", "O", "O", "O", "O", "O", "O", "O", "O", "O", "O", "O", "O", "O", "O", "O", "O", "O", "P", "P", "P", "P", "P", "P", "P", "P", "N", "N", "N", "N"],
  "frac_coords": [[0.498, 0.268, 0.000], [0.097, 0.042, 0.189], [0.597, 0.458, 0.689], [0.265, 0.632, 0.616], [0.058, 0.300, 0.019], [0.939, 0.988, 0.104], [0.502, 0.732, 0.000], [0.735, 0.368, 0.384], [0.417, 0.642, 0.859], [0.233, 0.085, 0.040], [0.767, 0.915, 0.960], [0.942, 0.700, 0.981], [0.002, 0.768, 0.500], [0.399, 0.364, 0.087], [0.061, 0.012, 0.896], [0.917, 0.858, 0.359], [0.733, 0.415, 0.540], [0.601, 0.636, 0.913], [0.899, 0.136, 0.587], [0.998, 0.232, 0.500], [0.101, 0.864, 0.413], [0.903, 0.958, 0.811], [0.765, 0.868, 0.116], [0.267, 0.585, 0.460], [0.489, 0.220, 0.168], [0.235, 0.132, 0.884], [0.439, 0.512, 0.604], [0.511, 0.780, 0.832], [0.583, 0.358, 0.141], [0.011, 0.720, 0.332], [0.561, 0.488, 0.396], [0.558, 0.200, 0.519], [0.403, 0.542, 0.311], [0.442, 0.800, 0.481], [0.989, 0.280, 0.668], [0.083, 0.142, 0.641], [0.108, 0.769, 0.816], [0.885, 0.464, 0.872], [0.115, 0.536, 0.128], [0.608, 0.731, 0.316], [0.392, 0.269, 0.684], [0.892, 0.231, 0.184], [0.615, 0.964, 0.628], [0.385, 0.036, 0.372], [0.303, 0.367, 0.805], [0.496, 0.135, 0.554], [0.212, 0.696, 0.196], [0.213, 0.611, 0.787], [0.277, 0.949, 0.208], [0.823, 0.867, 0.044], [0.803, 0.133, 0.305], [0.241, 0.823, 0.976], [0.998, 0.070, 0.147], [0.177, 0.133, 0.956], [0.043, 0.273, 0.335], [0.996, 0.365, 0.054], [0.323, 0.633, 0.544], [0.543, 0.227, 0.835], [0.041, 0.414, 0.797], [0.712, 0.804, 0.696], [0.787, 0.389, 0.213], [0.738, 0.025, 0.514], [0.777, 0.551, 0.708], [0.504, 0.865, 0.446], [0.723, 0.051, 0.792], [0.287, 0.111, 0.713], [0.741, 0.677, 0.476], [0.498, 0.430, 0.647], [0.759, 0.177, 0.024], [0.762, 0.525, 0.986], [0.223, 0.449, 0.292], [0.457, 0.773, 0.165], [0.197, 0.867, 0.695], [0.541, 0.086, 0.297], [0.238, 0.475, 0.014], [0.788, 0.304, 0.804], [0.288, 0.196, 0.304], [0.502, 0.570, 0.353], [0.677, 0.367, 0.456], [0.002, 0.930, 0.853], [0.713, 0.889, 0.287], [0.957, 0.727, 0.665], [0.959, 0.586, 0.203], [0.259, 0.323, 0.524], [0.262, 0.975, 0.486], [0.004, 0.635, 0.946], [0.697, 0.633, 0.195], [0.459, 0.914, 0.703], [0.295, 0.808, 0.136], [0.795, 0.692, 0.636], [0.705, 0.192, 0.864], [0.198, 0.464, 0.849], [0.302, 0.964, 0.651], [0.205, 0.308, 0.364], [0.698, 0.036, 0.349], [0.802, 0.536, 0.151], [0.510, 0.697, 0.901], [0.490, 0.303, 0.099], [0.990, 0.197, 0.599], [0.010, 0.803, 0.401]]
}

=====

Record 2
{
  "formula": "Al2Si3H8N2O10",
  "functional": "PBE",
  "state": "relaxed",
  "total_energy_ev_per_atom": -6.58,
  "total_magnetization_mub_per_fu": 0.0,
  "cell": [[6.611, 0.000, 0.000], [3.305, 9.162, 0.000], [3.305, 0.000, 9.211]],
  "species": ["O", "O", "O", "O", "O", "O", "O", "O", "O", "O", "O", "O", "O", "O", "O", "O", "O", "O", "O", "O", "N", "N", "N", "N", "Si", "Si", "Si", "Si", "Si", "Si", "H", "H", "H", "H", "H", "H", "H", "H", "H", "H", "H", "H", "H", "H", "H", "H", "Al", "Al", "Al", "Al"],
  "frac_coords": [[0.171, 0.853, 0.980], [0.774, 0.647, 0.480], [0.635, 0.200, 0.933], [0.120, 0.636, 0.871], [0.026, 0.524, 0.647], [0.300, 0.976, 0.147], [0.585, 0.300, 0.433], [0.318, 0.700, 0.567], [0.901, 0.353, 0.520], [0.423, 0.024, 0.853], [0.740, 0.136, 0.629], [0.468, 0.415, 0.695], [0.626, 0.364, 0.129], [0.197, 0.476, 0.353], [0.913, 0.915, 0.805], [0.004, 0.147, 0.020], [0.506, 0.864, 0.371], [0.633, 0.085, 0.195], [0.578, 0.585, 0.305], [0.768, 0.800, 0.067], [0.632, 0.606, 0.941], [0.323, 0.106, 0.559], [0.179, 0.394, 0.059], [0.988, 0.894, 0.441], [0.723, 0.195, 0.071], [0.979, 0.500, 0.500], [0.544, 0.695, 0.429], [0.229, 0.000, 0.000], [0.990, 0.805, 0.929], [0.668, 0.305, 0.571], [0.346, 0.327, 0.007], [0.889, 0.989, 0.503], [0.078, 0.921, 0.338], [0.157, 0.165, 0.566], [0.381, 0.011, 0.497], [0.473, 0.665, 0.934], [0.336, 0.079, 0.662], [0.071, 0.335, 0.066], [0.165, 0.421, 0.162], [0.102, 0.827, 0.493], [0.748, 0.579, 0.838], [0.680, 0.673, 0.993], [0.423, 0.173, 0.507], [0.887, 0.835, 0.434], [0.628, 0.511, 0.003], [0.142, 0.489, 0.997], [0.235, 0.568, 0.691], [0.677, 0.068, 0.809], [0.554, 0.932, 0.191], [0.495, 0.432, 0.309]]
}

=====

Record 3
{
  "formula": "Al2Si3H8N2O10",
  "functional": "PBE",
  "state": "relaxed",
  "total_energy_ev_per_atom": -6.58,
  "total_magnetization_mub_per_fu": 0.0,
  "cell": [[-6.224, -0.045, -2.226], [-3.520, -7.492, 9.995], [-2.541, 10.724, 6.889]],
  "species": ["O", "O", "O", "O", "O", "O", "O", "O", "O", "O", "O", "O", "O", "O", "O", "O", "O", "O", "O", "O", "O", "O", "O", "O", "O", "O", "O", "O", "O", "O", "O", "O", "O", "O", "O", "O", "O", "O", "O", "O", "H", "H", "H", "H", "H", "H", "H", "H", "H", "H", "H", "H", "H", "H", "H", "H", "H", "H", "H", "H", "H", "H", "H", "H", "H", "H", "H", "H", "H", "H", "H", "H", "Al", "Al", "Al", "Al", "Al", "Al", "Al", "Al", "N", "N", "N", "N", "N", "N", "N", "N", "Si", "Si", "Si", "Si", "Si", "Si", "Si", "Si", "Si", "Si", "Si", "Si"],
  "frac_coords": [[0.614, 0.811, 0.676], [0.196, 0.885, 0.695], [0.760, 0.191, 0.116], [0.696, 0.115, 0.305], [0.360, 0.176, 0.798], [0.627, 0.694, 0.850], [0.496, 0.891, 0.311], [0.347, 0.632, 0.008], [0.873, 0.132, 0.498], [0.377, 0.349, 0.681], [0.952, 0.192, 0.890], [0.232, 0.602, 0.804], [0.996, 0.109, 0.689], [0.127, 0.306, 0.150], [0.138, 0.001, 0.868], [0.909, 0.677, 0.703], [0.632, 0.193, 0.649], [0.470, 0.699, 0.389], [0.583, 0.493, 0.365], [0.452, 0.808, 0.110], [0.847, 0.368, 0.992], [0.877, 0.651, 0.319], [0.860, 0.824, 0.202], [0.373, 0.868, 0.502], [0.281, 0.681, 0.617], [0.970, 0.301, 0.611], [0.638, 0.999, 0.132], [0.114, 0.189, 0.324], [0.154, 0.686, 0.178], [0.781, 0.319, 0.383], [0.043, 0.378, 0.817], [0.543, 0.622, 0.183], [0.732, 0.398, 0.196], [0.882, 0.851, 0.821], [0.654, 0.314, 0.822], [0.382, 0.149, 0.179], [0.409, 0.323, 0.297], [0.132, 0.807, 0.351], [0.083, 0.507, 0.635], [0.260, 0.809, 0.884], [0.089, 0.498, 0.497], [0.589, 0.502, 0.503], [0.343, 0.494, 0.997], [0.019, 0.916, 0.597], [0.770, 0.095, 0.914], [0.232, 0.405, 0.917], [0.017, 0.546, 0.380], [0.221, 0.466, 0.388], [0.984, 0.418, 0.406], [0.519, 0.084, 0.403], [0.383, 0.006, 0.482], [0.780, 0.883, 0.568], [0.484, 0.582, 0.594], [0.270, 0.905, 0.086], [0.280, 0.117, 0.432], [0.462, 0.124, 0.525], [0.532, 0.060, 0.883], [0.640, 0.016, 0.995], [0.140, 0.984, 0.005], [0.773, 0.625, 0.957], [0.032, 0.940, 0.117], [0.962, 0.876, 0.475], [0.517, 0.454, 0.620], [0.470, 0.386, 0.960], [0.883, 0.994, 0.518], [0.273, 0.375, 0.043], [0.732, 0.595, 0.083], [0.721, 0.971, 0.878], [0.221, 0.029, 0.122], [0.721, 0.534, 0.612], [0.843, 0.506, 0.003], [0.970, 0.614, 0.040], [0.618, 0.878, 0.193], [0.870, 0.191, 0.376], [0.868, 0.313, 0.116], [0.117, 0.383, 0.687], [0.368, 0.687, 0.884], [0.617, 0.617, 0.313], [0.118, 0.122, 0.807], [0.370, 0.809, 0.624], [0.909, 0.917, 0.538], [0.079, 0.482, 0.418], [0.664, 0.035, 0.917], [0.579, 0.518, 0.582], [0.164, 0.965, 0.083], [0.409, 0.083, 0.462], [0.830, 0.585, 0.020], [0.330, 0.415, 0.980], [0.502, 0.257, 0.737], [0.629, 0.382, 0.308], [0.626, 0.114, 0.184], [0.753, 0.757, 0.763], [0.376, 0.689, 0.121], [0.876, 0.311, 0.879], [0.875, 0.186, 0.613], [0.129, 0.618, 0.692], [0.375, 0.814, 0.387], [0.002, 0.743, 0.263], [0.126, 0.886, 0.816], [0.253, 0.243, 0.237]]
}

=====

Record 4
{
  "formula": "AlHPdN2",
  "functional": "PBE",
  "state": "relaxed",
  "total_energy_ev_per_atom": -4.60,
  "total_magnetization_mub_per_fu": 0.8,
  "cell": [[-2.919, -2.050, 0.123], [-0.096, -0.177, -5.216], [2.053, -2.919, 0.061]],
  "species": ["N", "N", "H", "Al", "Pd"],
  "frac_coords": [[0.500, 0.000, 0.000], [0.000, 0.000, 0.500], [0.500, 0.500, 0.500], [0.000, 0.000, 0.000], [0.000, 0.500, 0.000]]
}

=====

Record 5
{
  "formula": "RbAlHN2",
  "functional": "PBE",
  "state": "relaxed",
  "total_energy_ev_per_atom": -2.94,
  "total_magnetization_mub_per_fu": 0.0,
  "cell": [[-0.420, 3.542, -1.996], [-0.947, -1.914, -3.198], [-3.939, 0.142, 1.081]],
  "species": ["H", "N", "N", "Al", "Rb"],
  "frac_coords": [[0.000, 0.000, 0.000], [0.500, 0.000, 0.000], [0.000, 0.000, 0.500], [0.500, 0.500, 0.500], [0.000, 0.500, 0.000]]
}

=====

Record 6
{
  "formula": "AlHS2N",
  "functional": "PBE",
  "state": "relaxed",
  "total_magnetization_mub_per_fu": 0.1,
  "e_above_lowest_polymorph_kcal_per_mol_atoms": 0.000,
  "cell": [[-1.172, -2.611, -1.498], [1.818, 0.667, -2.586], [5.553, -4.123, 2.842]],
  "species": ["S", "S", "Al", "N", "H"],
  "frac_coords": [[0.500, 0.000, 0.000], [0.000, 0.500, 0.000], [0.500, 0.500, 0.500], [0.000, 0.000, 0.500], [0.000, 0.000, 0.000]]
}

=====

Record 7
{
  "formula": "AlHSN2",
  "functional": "PBE",
  "state": "relaxed",
  "total_magnetization_mub_per_fu": 0.6,
  "e_above_lowest_polymorph_kcal_per_mol_atoms": 5.211,
  "cell": [[-1.968, 0.504, -3.315], [-3.353, -0.258, 1.951], [0.026, 2.945, 0.433]],
  "species": ["S", "N", "N", "Al", "H"],
  "frac_coords": [[0.000, 0.000, 0.500], [0.000, 0.500, 0.000], [0.500, 0.000, 0.000], [0.500, 0.500, 0.500], [0.000, 0.000, 0.000]]
}

=====

Record 8
{
  "formula": "AlHS2N",
  "functional": "PBE",
  "state": "relaxed",
  "total_magnetization_mub_per_fu": 1.0,
  "e_above_lowest_polymorph_kcal_per_mol_atoms": 1.389,
  "cell": [[4.714, 0.000, 0.000], [0.000, 4.714, 0.000], [0.000, 0.000, 3.721]],
  "species": ["H", "Al", "S", "S", "N"],
  "frac_coords": [[0.500, 0.500, 0.500], [0.000, 0.000, 0.000], [0.000, 0.500, 0.000], [0.500, 0.000, 0.000], [0.000, 0.000, 0.500]]
}

=====

Record 9
{
  "formula": "AlHSN2",
  "functional": "PBE",
  "state": "relaxed",
  "total_magnetization_mub_per_fu": 2.1,
  "e_above_lowest_polymorph_kcal_per_mol_atoms": 0.000,
  "cell": [[3.629, 0.000, 0.000], [0.000, 3.629, 0.000], [0.000, 0.000, 5.295]],
  "species": ["S", "N", "N", "H", "Al"],
  "frac_coords": [[0.000, 0.000, 0.500], [0.000, 0.500, 0.000], [0.500, 0.000, 0.000], [0.500, 0.500, 0.500], [0.000, 0.000, 0.000]]
}

=====

Record 10
{
  "formula": "TaAlH2N",
  "functional": "PBE",
  "state": "relaxed",
  "total_energy_ev_per_atom": -5.33,
  "total_magnetization_mub_per_fu": 0.0,
  "cell": [[3.755, 0.000, 0.000], [0.000, 4.062, 0.000], [0.000, 0.000, 3.755]],
  "species": ["H", "H", "N", "Ta", "Al"],
  "frac_coords": [[0.500, 0.000, 0.000], [0.000, 0.000, 0.500], [0.000, 0.000, 0.000], [0.000, 0.500, 0.000], [0.500, 0.500, 0.500]]
}

=====

Record 11
{
  "formula": "AlTe2HN",
  "functional": "PBE",
  "state": "relaxed",
  "total_magnetization_mub_per_fu": 0.0,
  "e_above_lowest_polymorph_kcal_per_mol_atoms": 3.795,
  "cell": [[5.308, 0.000, 0.000], [0.000, 5.308, 0.000], [0.000, 0.000, 2.931]],
  "species": ["N", "H", "Te", "Te", "Al"],
  "frac_coords": [[0.000, 0.000, 0.500], [0.000, 0.000, 0.000], [0.500, 0.000, 0.000], [0.000, 0.500, 0.000], [0.500, 0.500, 0.500]]
}

=====

Record 12
{
  "formula": "AlTeHN2",
  "functional": "PBE",
  "state": "relaxed",
  "total_magnetization_mub_per_fu": 0.7,
  "e_above_lowest_polymorph_kcal_per_mol_atoms": 15.677,
  "cell": [[-2.627, 2.355, 2.186], [1.823, -1.232, 3.519], [2.160, 2.602, -0.208]],
  "species": ["N", "N", "H", "Te", "Al"],
  "frac_coords": [[0.500, 0.000, 0.000], [0.000, 0.500, 0.000], [0.000, 0.000, 0.000], [0.000, 0.000, 0.500], [0.500, 0.500, 0.500]]
}